# Ba2MnI2O2

An optimized crystal structure of Ba2MnI2O2 (PBE with a Hubbard U, Alexandria).

POSCAR file:
```
Ba2MnI2O2
1.0
-2.2027 2.2027 10.3772
2.2027 -2.2027 10.3772
2.2027 2.2027 -10.3772
Ba Mn I O
2 1 2 2
Direct
0.0847 0.0847 0.0000
0.9153 0.9153 0.0000
0.5000 0.5000 0.0000
0.3345 0.3345 0.0000
0.6655 0.6655 0.0000
0.0000 0.5000 0.5000
0.5000 0.0000 0.5000
```

Summary:
space group	No. 139
E	-0.39975	Ry per atom